VASP calculation (GGA-PBE) on a relaxed Tl2Mo crystal.

As for the density of states at the Fermi level: 1.211 states/eV/f.u. Its magnetization is 0.00 μB/f.u. The value obtained for the energy of formation is 0.5278 eV per atom. The value obtained for the relative energy among the computed polymorphs is 0.053 eV per atom.

The structure belongs to space group Cmcm (No. 63); the cell edges are 2.967, 22.476 and 4.567 Å and the angles 90.00°, 90.00° and 90.00°. The distinct sites, in fractional coordinates, are Tl at (0.000, 0.089, 0.250), Tl at (0.000, 0.187, 0.750) and Mo at (0.000, 0.469, 0.250).

***

VASP calculation (GGA-PBE) on a relaxed TlMo3 crystal.

As for the density of states at the Fermi level: 2.031 states/eV/f.u. Its magnetization is 0.00 μB/f.u. The value obtained for the energy of formation is 0.4375 eV per atom. The value obtained for the relative energy among the computed polymorphs is 0.000 eV per atom.

The structure belongs to space group Cmmm (No. 65); the cell edges are 3.251, 4.743 and 9.198 Å and the angles 90.00°, 90.00° and 90.00°. The distinct sites, in fractional coordinates, are Tl at (0.000, 0.000, 0.000), Mo at (0.000, 0.000, 0.500) and Mo at (0.000, 0.500, 0.272).

***

VASP calculation (GGA-PBE) on a relaxed Tl3Mo crystal.

As for the density of states at the Fermi level: 2.649 states/eV/f.u. Its magnetization is 2.76 μB/f.u. The value obtained for the energy of formation is 0.8067 eV per atom. The value obtained for the relative energy among the computed polymorphs is 0.403 eV per atom.

The structure belongs to space group Pm-3m (No. 221); the cell edges are 4.602, 4.602 and 4.602 Å and the angles 90.00°, 90.00° and 90.00°. The distinct sites, in fractional coordinates, are Tl at (0.000, 0.000, 0.500) and Mo at (0.500, 0.500, 0.500).

***

VASP calculation (GGA-PBE) on a relaxed TlMo crystal.

As for the density of states at the Fermi level: 1.235 states/eV/f.u. Its magnetization is 0.00 μB/f.u. The value obtained for the energy of formation is 0.6114 eV per atom. The value obtained for the relative energy among the computed polymorphs is 0.147 eV per atom.

The structure belongs to space group Pnma (No. 62); the cell edges are 12.904, 4.551 and 5.837 Å and the angles 90.00°, 90.00° and 90.00°. The distinct sites, in fractional coordinates, are Tl at (0.068, 0.250, 0.116), Tl at (0.210, 0.750, 0.904), Mo at (0.064, 0.250, 0.615) and Mo at (0.125, 0.750, 0.433).

***

> The lowest energy of formation belongs to which entry?

TlMo3